# AcZrRu2

Crystalline AcZrRu2 at its relaxed geometry (PBE-GGA, Alexandria via LeMat-Bulk).

a b c (Å): 3.396 3.396 7.267
angles (deg): 90.00 90.00 90.00
Sites, in units of the cell vectors:
Zr 0.500 0.500 0.000
Ru 0.000 0.000 0.210
Ac 0.500 0.500 0.500
Ru 0.000 0.000 0.790

Space-group type ... P4/mmm, No. 123
Energy of formation ... -0.7 eV/f.u.
Volume ... 84 Å³ per cell
Total magnetic moment ... 0.000 μB per atom
Final energy ... -31.94 eV per cell
Mass density ... 10.31 g/cm³